Entry 1:
The following is a GGA-PBE calculation of a relaxed TiIn2Te4 crystal, from Alexandria.

a b c (Å): 6.8786 6.8786 6.8786
angles (deg): 107.20 107.20 114.11
Last column: nearest neighbours and their distance in Å.
Fractional positions:
Te: 0.6787 0.7955 0.4742  1 Ti 2.82, 2 In 2.90
Te: 0.3213 0.2045 0.5258  1 Ti 2.82, 2 In 2.90
Te: 0.2045 0.6787 0.8832  1 Ti 2.82, 2 In 2.90
Te: 0.7955 0.3213 0.1168  1 Ti 2.82, 2 In 2.90
In: 0.2500 0.7500 0.5000  4 Te 2.90
In: 0.7500 0.2500 0.5000  4 Te 2.90
Ti: 0.5000 0.5000 0.0000  4 Te 2.82

Calculated values
Fermi-level density of states = 0.5694 states/eV per atom
Space-group type = I4/m, No. 87
Formation energy (no corrections) = -0.209 eV/atom
Energy above the most stable polymorph in this dataset = 0.000 eV/atom

=====

Entry 2:
The following is a GGA-PBE calculation of a relaxed Sc5AgAu4 crystal, from Alexandria.

a b c (Å): 3.3976 3.3976 17.1622
angles (deg): 90.00 90.00 90.00
Last column: nearest neighbours and their distance in Å.
Fractional positions:
Au: 0.0000 0.0000 0.3999  8 Sc 2.94-2.95
Au: 0.0000 0.0000 0.6001  8 Sc 2.94-2.95
Au: 0.0000 0.0000 0.8002  8 Sc 2.93-2.96
Au: 0.0000 0.0000 0.1998  8 Sc 2.93-2.96
Sc: 0.5000 0.5000 0.3010  8 Au 2.94-2.96
Sc: 0.5000 0.5000 0.8975  4 Au 2.93, 4 Ag 2.98
Sc: 0.5000 0.5000 0.1025  4 Au 2.93, 4 Ag 2.98
Sc: 0.5000 0.5000 0.6990  8 Au 2.94-2.96
Sc: 0.5000 0.5000 0.5000  8 Au 2.95
Ag: 0.0000 0.0000 0.0000  8 Sc 2.98

Calculated values
Fermi-level density of states = 0.5566 states/eV per atom
DFT formation energy = -0.7041 eV per atom
Space-group type = P4/mmm, No. 123

=====

Entry 3:
The following is a GGA-PBE calculation of a relaxed Ca2AcCuSe4 crystal, from Alexandria.

a b c (Å): 4.2017 7.1706 14.4536
angles (deg): 90.00 90.00 107.04
Last column: nearest neighbours and their distance in Å.
Fractional positions:
Se: 0.7252 0.4504 0.8770  1 Cu 2.48
Se: 0.0000 0.0000 0.5000  4 Ca 2.89
Se: 0.4455 0.8910 0.7500  2 Cu 2.50
Se: 0.2748 0.5496 0.3770  1 Cu 2.48
Se: 0.5545 0.1090 0.2500  2 Cu 2.50
Se: 0.0000 0.0000 0.0000  4 Ca 2.89
Se: 0.7252 0.4504 0.6230  1 Cu 2.48
Se: 0.2748 0.5496 0.1230  1 Cu 2.48
Ca: 0.6306 0.2611 0.0597  6 Se 2.89-3.03
Ca: 0.3694 0.7389 0.9403  6 Se 2.89-3.03
Ca: 0.6306 0.2611 0.4403  6 Se 2.89-3.03
Ca: 0.3694 0.7389 0.5597  6 Se 2.89-3.03
Cu: 0.1535 0.3069 0.2500  4 Se 2.48-2.50
Cu: 0.8465 0.6931 0.7500  4 Se 2.48-2.50
Ac: 0.1145 0.2290 0.7500  6 Se 3.13-3.18
Ac: 0.8855 0.7710 0.2500  6 Se 3.13-3.18

Calculated values
Space-group type = Cmcm, No. 63
Formation energy (no corrections) = -1.660 eV/atom

=====

no.,magnetization (μB/atom)
1,0.282
2,0.000
3,0.000